# 1
Entry from Alexandria via LeMat-Bulk: crystalline TbHo2GaN at its relaxed geometry (GGA-PBE).

Computed properties:
- energy (eV per cell) = -30.0
- formation energy from raw total energies (meV per atom) = -979

Cell: 4.722 4.722 4.779 Å, 90.00 90.00 90.00°
Space group P4/mmm (No. 123)
Unique sites:
Tb 0.000 0.000 0.000
Ho 0.000 0.500 0.500
Ga 0.500 0.500 0.000
N 0.000 0.000 0.500

# 2
Entry from Alexandria via LeMat-Bulk: crystalline Cu2AuCl at its relaxed geometry (GGA-PBE).

Computed properties:
- energy (eV per cell) = -13.2
- formation energy from raw total energies (meV per atom) = 25
- offset from the most stable computed form (meV per atom) = 125.7

Cell: 3.241 3.241 6.610 Å, 90.00 90.00 90.00°
Space group P4mm (No. 99)
Unique sites:
Cu 0.000 0.000 0.000
Cu 0.500 0.500 0.197
Au 0.000 0.000 0.396
Cl 0.500 0.500 0.821

# 3
Entry from Alexandria via LeMat-Bulk: crystalline Ac2Mn2Pt15 at its relaxed geometry (GGA-PBE).

Computed properties:
- energy (eV per cell) = -380.6
- ΔE_f (eV/atom) = -0.51

Cell: 9.3636 9.3636 13.6081 Å, 90.00 90.00 120.00°
Space group R-3m (No. 166, hexagonal axes)
Unique sites:
Ac 0.0000 0.0000 0.1559
Mn 0.0000 0.0000 0.4029
Pt 0.0000 0.3034 0.5000
Pt 0.0000 0.5000 0.0000
Pt 0.0026 0.5013 0.3437

Volume (computed, Å³ per atom): 21.3, 17.4, 18.1
Size of the total moment (computed, μB per atom): 0.00, 0.00, 0.48